# 1
A geometry-optimized Ac8Pm2Tl structure, computed with PBE.

Unit cell a=6.012 b=8.514 c=10.180 alpha=111.00 beta=107.17 gamma=90.00
Fractional positions:
Ac1 0.388 0.567 0.777
Ac2 0.664 0.922 0.328
Ac3 0.820 0.774 0.640
Ac4 0.984 0.239 0.967
Ac5 0.180 0.226 0.360
Ac6 0.336 0.078 0.672
Ac7 0.612 0.433 0.223
Ac8 0.016 0.761 0.033
Pm1 0.809 0.340 0.618
Pm2 0.191 0.660 0.382
Tl1 0.500 0.000 0.000

- density of states at the Fermi level (states/eV/cell) = 15.95
- energy relative to the elements (meV per atom) = 22
- total energy (eV per atom) = -4.0443
- spin magnetization (Bohr magnetons per cell) = 0.000
- SG = C2/m



# 2
A geometry-optimized Ac3Pm4Tl structure, computed with PBE.

Unit cell a=3.832 b=3.832 c=19.902 alpha=90.00 beta=90.00 gamma=90.00
Fractional positions:
Ac1 0.500 0.500 0.232
Ac2 0.500 0.500 0.500
Ac3 0.500 0.500 0.768
Tl1 0.500 0.500 0.000
Pm1 0.000 0.000 0.898
Pm2 0.000 0.000 0.102
Pm3 0.000 0.000 0.367
Pm4 0.000 0.000 0.633

- density of states at the Fermi level (states/eV/cell) = 11.07
- energy relative to the elements (meV per atom) = -71
- total energy (eV per atom) = -4.2827
- spin magnetization (Bohr magnetons per cell) = 0.000
- SG = P4/mmm



# 3
A geometry-optimized AcPm6Tl structure, computed with PBE.

Unit cell a=5.063 b=5.063 c=10.474 alpha=90.00 beta=90.00 gamma=90.00
Fractional positions:
Ac1 0.000 0.000 0.000
Pm1 0.500 0.500 0.000
Pm2 0.500 0.500 0.500
Pm3 0.500 0.000 0.262
Pm4 0.500 0.000 0.738
Pm5 0.000 0.500 0.262
Pm6 0.000 0.500 0.738
Tl1 0.000 0.000 0.500

- density of states at the Fermi level (states/eV/cell) = 10.29
- energy relative to the elements (meV per atom) = -59
- total energy (eV per atom) = -4.4315
- spin magnetization (Bohr magnetons per cell) = 0.000
- SG = P4/mmm



# 4
A geometry-optimized Ac3PmTl4 structure, computed with PBE.

Unit cell a=4.030 b=4.030 c=16.612 alpha=90.00 beta=90.00 gamma=90.00
Fractional positions:
Ac1 0.500 0.500 0.240
Ac2 0.500 0.500 0.500
Ac3 0.500 0.500 0.760
Tl1 0.000 0.000 0.891
Tl2 0.000 0.000 0.109
Tl3 0.000 0.000 0.369
Tl4 0.000 0.000 0.631
Pm1 0.500 0.500 0.000

- density of states at the Fermi level (states/eV/cell) = 7.44
- energy relative to the elements (meV per atom) = -356
- total energy (eV per atom) = -3.6740
- spin magnetization (Bohr magnetons per cell) = 0.000
- SG = P4/mmm



# 5
A geometry-optimized Ac4Pm5Tl structure, computed with PBE.

Unit cell a=3.841 b=3.841 c=25.137 alpha=90.00 beta=90.00 gamma=90.00
Fractional positions:
Ac1 0.000 0.000 0.183
Ac2 0.000 0.000 0.395
Ac3 0.000 0.000 0.605
Ac4 0.000 0.000 0.817
Pm1 0.500 0.500 0.080
Pm2 0.500 0.500 0.290
Pm3 0.500 0.500 0.500
Pm4 0.500 0.500 0.710
Pm5 0.500 0.500 0.920
Tl1 0.000 0.000 0.000

- density of states at the Fermi level (states/eV/cell) = 14.40
- energy relative to the elements (meV per atom) = -51
- total energy (eV per atom) = -4.3059
- spin magnetization (Bohr magnetons per cell) = 0.000
- SG = P4/mmm